Here is an optimized crystal structure of ZnAsSe2S from Alexandria via LeMat-Bulk. Energies are from PBE.

a b c (Å): 4.8537 4.8537 4.8983
angles (deg): 90.00 90.00 90.00
Each line ends with the local moment (μB).
Positions (direct):
As (0.0000, 0.0000, 0.5000)  0.22
Se (0.0000, 0.5000, 0.0000)  0.04
Se (0.5000, 0.0000, 0.0000)  0.04
Zn (0.5000, 0.5000, 0.5000)  -0.01
S (0.0000, 0.0000, 0.0000)  0.00

Computed properties:
space-group type: P4/mmm (123)
energy above the most stable polymorph in this dataset: 0.0000 eV per atom
ΔE_f (raw): 0.6475 eV per atom

---

Here is an optimized crystal structure of NaSrBrO from Alexandria via LeMat-Bulk. Energies are from PBE.

a b c (Å): 4.7410 4.7410 8.7356
angles (deg): 90.00 90.00 90.00
Positions (direct):
Br (0.5000, 0.0000, 0.1734)
Br (0.0000, 0.5000, 0.8266)
Na (0.0000, 0.5000, 0.1585)
Na (0.5000, 0.0000, 0.8415)
O (0.0000, 0.5000, 0.4165)
O (0.5000, 0.0000, 0.5835)
Sr (0.5000, 0.5000, 0.5000)
Sr (0.0000, 0.0000, 0.5000)

Computed properties:
space-group type: P4/nmm (129)
ΔE_f (raw): -2.0340 eV per atom

---

Here is an optimized crystal structure of Ce2Th4Bi3H2 from Alexandria via LeMat-Bulk. Energies are from PBE.

a b c (Å): 4.7142 4.7142 14.2642
angles (deg): 99.51 99.51 90.00
Each line ends with the local moment (μB).
Positions (direct):
Th (0.0858, 0.5858, 0.1715)  0.06
Th (0.5858, 0.0858, 0.1715)  0.06
Th (0.4142, 0.9142, 0.8285)  0.06
Th (0.9142, 0.4142, 0.8285)  0.06
Ce (0.2972, 0.2972, 0.5944)  1.11
Ce (0.7028, 0.7028, 0.4056)  1.11
H (0.5694, 0.5694, 0.1388)  0.00
H (0.4306, 0.4306, 0.8612)  0.00
Bi (0.1768, 0.1768, 0.3536)  -0.03
Bi (0.8232, 0.8232, 0.6464)  -0.03
Bi (0.0000, 0.0000, 0.0000)  0.01

Computed properties:
space-group type: I4/mmm (139)

---

Here is an optimized crystal structure of TiVB4 from Alexandria via LeMat-Bulk. Energies are from PBE.

a b c (Å): 4.0828 4.0828 4.0828
angles (deg): 60.00 60.00 60.00
Positions (direct):
B (0.1406, 0.6198, 0.6198)
B (0.6198, 0.6198, 0.1406)
B (0.6198, 0.1406, 0.6198)
B (0.6198, 0.6198, 0.6198)
Ti (0.2500, 0.2500, 0.2500)
V (0.0000, 0.0000, 0.0000)

Computed properties:
calculated formation energy: -117 kJ/mol of formula units
space-group type: F-43m (216)

---

Here is an optimized crystal structure of CuRe2Mo from Alexandria via LeMat-Bulk. Energies are from PBE.

a b c (Å): 4.3602 4.3602 4.3602
angles (deg): 60.00 60.00 60.00
Positions (direct):
Mo (0.5000, 0.5000, 0.5000)
Cu (0.0000, 0.0000, 0.0000)
Re (0.7500, 0.7500, 0.7500)
Re (0.2500, 0.2500, 0.2500)

Computed properties:
calculated formation energy: 131 kJ/mol of formula units
space-group type: Fm-3m (225)
energy above the most stable polymorph in this dataset: 0.1641 eV per atom

---

Here is an optimized crystal structure of Cr2ReTe from Alexandria via LeMat-Bulk. Energies are from PBE.

a b c (Å): 8.0791 8.0791 8.0791
angles (deg): 21.73 21.73 21.73
Each line ends with the local moment (μB).
Positions (direct):
Re (0.2500, 0.2500, 0.2500)  -0.20
Te (0.7500, 0.7500, 0.7500)  -0.02
Cr (0.5071, 0.5071, 0.5071)  0.73
Cr (0.9929, 0.9929, 0.9929)  0.73

Computed properties:
space-group type: R-3m (166)
ΔE_f (raw): 0.5804 eV per atom

---

Here is an optimized crystal structure of LiPmH4 from Alexandria via LeMat-Bulk. Energies are from PBE.

a b c (Å): 3.7530 3.7530 5.0584
angles (deg): 89.91 89.95 90.00
Positions (direct):
Li (0.0015, 0.9969, 0.4980)
H (0.0015, 0.4982, 0.7408)
H (0.5009, 0.9968, 0.2556)
H (0.5016, 0.9979, 0.7408)
H (0.0010, 0.4966, 0.2556)
Pm (0.5013, 0.4973, 0.9981)

Computed properties:
space-group type: C2/m (12)
energy above the most stable polymorph in this dataset: 0.1519 eV per atom

---

Here is an optimized crystal structure of Tl3BiPb from Alexandria via LeMat-Bulk. Energies are from PBE.

a b c (Å): 5.2232 9.3013 6.9284
angles (deg): 90.00 90.00 107.04
Positions (direct):
Bi (0.3161, 0.1307, 0.7500)
Bi (0.6839, 0.8693, 0.2500)
Tl (0.7012, 0.9052, 0.7500)
Tl (0.1026, 0.7042, 0.5043)
Tl (0.2988, 0.0948, 0.2500)
Tl (0.1026, 0.7042, 0.9957)
Tl (0.8974, 0.2958, 0.0043)
Tl (0.8974, 0.2958, 0.4957)
Pb (0.5069, 0.5084, 0.2500)
Pb (0.4931, 0.4916, 0.7500)

Computed properties:
calculated formation energy: 0 kJ/mol of formula units
space-group type: P2_1/m (11)
energy above the most stable polymorph in this dataset: 0.0113 eV per atom

---

Here is an optimized crystal structure of BaCuReAg2 from Alexandria via LeMat-Bulk. Energies are from PBE.

a b c (Å): 4.9172 4.9172 5.6548
angles (deg): 90.00 90.00 90.00
Each line ends with the local moment (μB).
Positions (direct):
Ag (0.0000, 0.5000, 0.0000)  0.00
Ag (0.5000, 0.0000, 0.0000)  0.00
Cu (0.0000, 0.0000, 0.0000)  0.00
Ba (0.0000, 0.0000, 0.5000)  -0.04
Re (0.5000, 0.5000, 0.5000)  3.16

Computed properties:
calculated formation energy: 633 kJ/mol of formula units
space-group type: P4/mmm (123)

---

Here is an optimized crystal structure of ScSn3Rh from Alexandria via LeMat-Bulk. Energies are from PBE.

a b c (Å): 5.1181 5.1181 5.1181
angles (deg): 90.00 90.00 90.00
Positions (direct):
Sn (0.5000, 0.0000, 0.0000)
Sn (0.0000, 0.5000, 0.0000)
Sn (0.0000, 0.0000, 0.5000)
Rh (0.0000, 0.0000, 0.0000)
Sc (0.5000, 0.5000, 0.5000)

Computed properties:
calculated formation energy: 39 kJ/mol of formula units
space-group type: Pm-3m (221)
energy above the most stable polymorph in this dataset: 0.0000 eV per atom

---

Here is an optimized crystal structure of SiPb4Au from Alexandria via LeMat-Bulk. Energies are from PBE.

a b c (Å): 6.3413 6.3413 6.3413
angles (deg): 60.00 60.00 60.00
Positions (direct):
Pb (0.3751, 0.3751, 0.3751)
Pb (0.3751, 0.8747, 0.3751)
Pb (0.3751, 0.3751, 0.8747)
Pb (0.8747, 0.3751, 0.3751)
Si (0.7500, 0.7500, 0.7500)
Au (0.0000, 0.0000, 0.0000)

Computed properties:
space-group type: F-43m (216)
ΔE_f (raw): 0.6172 eV per atom

---

Here is an optimized crystal structure of ZrTl2Ag from Alexandria via LeMat-Bulk. Energies are from PBE.

a b c (Å): 3.3353 3.3353 8.6307
angles (deg): 90.00 90.00 90.02
Positions (direct):
Zr (0.0000, 0.0000, 0.5176)
Tl (0.5000, 0.5000, 0.2715)
Tl (0.0000, 0.0000, 0.9786)
Ag (0.5000, 0.5000, 0.7324)

Computed properties:
calculated formation energy: 38 kJ/mol of formula units
space-group type: P4mm (99)
energy above the most stable polymorph in this dataset: 0.0888 eV per atom

---

| no. | calculated total energy (eV/atom) |
| --- | --- |
| 1 | -2.76 |
| 2 | -4.44 |
| 3 | -5.81 |
| 4 | -7.49 |
| 5 | -9.62 |
| 6 | -8.13 |
| 7 | -3.68 |
| 8 | -2.94 |
| 9 | -3.52 |
| 10 | -5.06 |
| 11 | -3.31 |
| 12 | -3.93 |